1.
First-principles (PBE) data for a geometry-optimized KTbTe3Au structure, as listed in OQMD via LeMat-Bulk.

```
KTbTe3Au
1.0
2.131 -8.338 0.000
2.131 8.338 0.000
0.000 0.000 11.291
Au K Tb Te
2 2 2 6
Cartesian
2.131 0.525 2.823
2.131 -0.525 8.468
2.131 -4.328 2.823
2.131 4.328 8.468
0.000 0.000 0.000
0.000 0.000 5.646
2.131 2.166 0.603
2.131 7.020 2.823
2.131 2.166 5.043
2.131 -2.166 6.248
2.131 -7.020 8.468
2.131 -2.166 10.688
```

## Properties
Magnetic moment, Bohr magnetons per cell: 0.03
Calculated total energy, eV for the cell shown: -47.91


2.
First-principles (PBE) data for a geometry-optimized KTeAu structure, as listed in OQMD via LeMat-Bulk.

```
KTeAu
1.0
-6.856 -1.025 -2.224
5.549 -1.998 -4.268
-0.008 -5.034 2.345
Au K Te
3 3 3
Cartesian
-1.542 -0.230 -0.500
1.248 -0.449 -0.960
-1.013 -2.343 -5.033
-3.712 -3.071 -0.030
-0.604 -3.905 -1.809
2.996 -3.597 -1.135
-2.721 -1.349 -2.906
1.414 -1.674 -3.587
-0.004 -2.517 1.173
```

## Properties
Calculated total energy, eV for the cell shown: -27.29


3.
First-principles (PBE) data for a geometry-optimized KTeAu structure, as listed in OQMD via LeMat-Bulk.

```
KTeAu
1.0
-3.006 -0.505 4.612
-1.831 -2.169 -4.744
3.066 -5.616 1.384
Au K Te
2 2 2
Cartesian
0.000 0.000 0.000
1.533 -2.808 0.692
-1.848 -2.463 1.839
0.077 -5.826 -0.587
-1.456 -3.018 -1.279
-0.315 -5.271 2.531
```

## Properties
Calculated total energy, eV for the cell shown: -15.37


Q: Which of these has the highest calculated total energy?
A: number 3